(1)
TiTl3Bi | PBE | optimized geometry

Cell lengths 5.9164, 5.9164, 5.9164 Å; angles 90.00, 90.00, 90.00 degrees
Sites, in units of the cell vectors:
1 Ti 0.0000 0.0000 0.0000
2 Tl 0.0000 0.5000 0.5000
3 Tl 0.5000 0.0000 0.5000
4 Tl 0.5000 0.5000 0.0000
5 Bi 0.5000 0.5000 0.5000

The value obtained for the calculated volume is 207 Å³ per cell. The value obtained for the distance to the lowest polymorph of the same formula is 649 meV per atom. The magnetic moment is 0.030 μB per atom. The density of states at the Fermi level comes out at 2.891 states/eV per atom.

(2)
Ti3TlBi | PBE | optimized geometry

Cell lengths 5.1327, 5.1327, 5.1327 Å; angles 90.00, 90.00, 90.00 degrees
Sites, in units of the cell vectors:
1 Ti 0.0000 0.0000 0.5000
2 Ti 0.0000 0.5000 0.0000
3 Ti 0.5000 0.0000 0.0000
4 Tl 0.0000 0.0000 0.0000
5 Bi 0.5000 0.5000 0.5000

The value obtained for the calculated volume is 135 Å³ per cell. The value obtained for the distance to the lowest polymorph of the same formula is 0 meV per atom. The magnetic moment is 0.793 μB per atom. The density of states at the Fermi level comes out at 1.449 states/eV per atom.

(3)
TiTlBi3 | PBE | optimized geometry

Cell lengths 5.7457, 5.7457, 5.7457 Å; angles 90.00, 90.00, 90.00 degrees
Sites, in units of the cell vectors:
1 Ti 0.0000 0.0000 0.0000
2 Tl 0.5000 0.5000 0.5000
3 Bi 0.0000 0.5000 0.5000
4 Bi 0.5000 0.0000 0.5000
5 Bi 0.5000 0.5000 0.0000

The value obtained for the calculated volume is 190 Å³ per cell. The value obtained for the distance to the lowest polymorph of the same formula is 1136 meV per atom. The magnetic moment is 0.007 μB per atom. The density of states at the Fermi level comes out at 2.936 states/eV per atom.

(4)
TiTl3Bi | PBE | optimized geometry

Cell lengths 5.4607, 5.4607, 5.4607 Å; angles 90.00, 90.00, 90.00 degrees
Sites, in units of the cell vectors:
1 Ti 0.0000 0.0000 0.0000
2 Tl 0.0000 0.0000 0.5000
3 Tl 0.0000 0.5000 0.0000
4 Tl 0.5000 0.0000 0.0000
5 Bi 0.5000 0.5000 0.5000

The value obtained for the calculated volume is 163 Å³ per cell. The value obtained for the distance to the lowest polymorph of the same formula is 0 meV per atom. The magnetic moment is 0.000 μB per atom. The density of states at the Fermi level comes out at 1.139 states/eV per atom.

(5)
Ti4TlBi | PBE | optimized geometry

Cell lengths 5.2675, 5.2675, 4.9731 Å; angles 90.00, 90.00, 123.62 degrees
Sites, in units of the cell vectors:
1 Ti 0.1735 0.8265 0.0000
2 Ti 0.3257 0.6743 0.5000
3 Ti 0.6743 0.3257 0.5000
4 Ti 0.8265 0.1735 0.0000
5 Tl 0.0000 0.0000 0.5000
6 Bi 0.5000 0.5000 0.0000

The value obtained for the calculated volume is 115 Å³ per cell. The value obtained for the distance to the lowest polymorph of the same formula is 0 meV per atom. The magnetic moment is 0.000 μB per atom. The density of states at the Fermi level comes out at 0.939 states/eV per atom.

(6)
TmTiBi | PBE | optimized geometry

Cell lengths 4.9508, 4.9508, 3.5649 Å; angles 90.00, 90.00, 120.00 degrees
Sites, in units of the cell vectors:
1 Tm 0.0000 0.0000 0.0000
2 Ti 0.6667 0.3333 0.5000
3 Bi 0.3333 0.6667 0.5000

The value obtained for the calculated volume is 76 Å³ per cell. The value obtained for the distance to the lowest polymorph of the same formula is 247 meV per atom. The magnetic moment is 0.711 μB per atom. The density of states at the Fermi level comes out at 1.251 states/eV per atom.

(7)
TmTiBi | PBE | optimized geometry

Cell lengths 3.6593, 3.6593, 10.8653 Å; angles 90.00, 90.00, 90.00 degrees
Sites, in units of the cell vectors:
1 Tm 0.2500 0.2500 0.1053
2 Tm 0.7500 0.7500 0.8947
3 Ti 0.2500 0.2500 0.4334
4 Ti 0.7500 0.7500 0.5666
5 Bi 0.2500 0.2500 0.7031
6 Bi 0.7500 0.7500 0.2969

The value obtained for the calculated volume is 145 Å³ per cell. The value obtained for the distance to the lowest polymorph of the same formula is 0 meV per atom. The magnetic moment is 0.000 μB per atom. The density of states at the Fermi level comes out at 0.687 states/eV per atom.

(8)
TmTiBi2 | PBE | optimized geometry

Cell lengths 7.4400, 7.4400, 7.4400 Å; angles 33.06, 33.06, 33.06 degrees
Sites, in units of the cell vectors:
1 Tm 0.0000 0.0000 0.0000
2 Ti 0.5000 0.5000 0.5000
3 Bi 0.2424 0.2424 0.2424
4 Bi 0.7576 0.7576 0.7576

The value obtained for the calculated volume is 109 Å³ per cell. The value obtained for the energy is -5.380 eV per atom. The magnetic moment is 0.172 μB per atom. The density of states at the Fermi level comes out at 0.611 states/eV per atom.